# 1
Material: LaNb2V2
Method: DFT, PBE-GGA
State: optimized geometry

Results
Its formation enthalpy at 0 K is 399 meV per atom. As for the crystal system: tetragonal.

abc: 7.930 7.930 3.197
angles: 90.00 90.00 90.00
Atoms (fractional coordinates):
Nb (0.138, 0.638, 0.500)
Nb (0.638, 0.862, 0.500)
Nb (0.862, 0.362, 0.500)
Nb (0.362, 0.138, 0.500)
La (0.000, 0.000, 0.000)
La (0.500, 0.500, 0.000)
V (0.371, 0.871, 0.000)
V (0.871, 0.629, 0.000)
V (0.629, 0.129, 0.000)
V (0.129, 0.371, 0.000)

---

# 2
Material: LaNb2W2
Method: DFT, PBE-GGA
State: optimized geometry

Results
The value obtained for the offset from the most stable computed form is 47 meV/atom. Its formation enthalpy at 0 K is 495 meV per atom. As for the crystal system: tetragonal.

abc: 8.116 8.116 3.122
angles: 90.00 90.00 90.00
Atoms (fractional coordinates):
Nb (0.142, 0.642, 0.500)
Nb (0.642, 0.858, 0.500)
Nb (0.858, 0.358, 0.500)
Nb (0.358, 0.142, 0.500)
W (0.359, 0.859, 0.000)
W (0.859, 0.641, 0.000)
W (0.641, 0.141, 0.000)
W (0.141, 0.359, 0.000)
La (0.000, 0.000, 0.000)
La (0.500, 0.500, 0.000)

---

# 3
Material: LaNbW3
Method: DFT, PBE-GGA
State: optimized geometry

Results
The value obtained for the offset from the most stable computed form is 0 meV/atom. Its formation enthalpy at 0 K is 1632 meV per atom. As for the crystal system: cubic.

abc: 4.906 4.906 4.906
angles: 90.00 90.00 90.00
Atoms (fractional coordinates):
Nb (0.000, 0.000, 0.000)
W (0.000, 0.500, 0.000)
W (0.000, 0.000, 0.500)
W (0.500, 0.000, 0.000)
La (0.500, 0.500, 0.500)

---

# 4
Material: LaNb2W2
Method: DFT, PBE-GGA
State: optimized geometry

Results
The value obtained for the offset from the most stable computed form is 0 meV/atom. Its formation enthalpy at 0 K is 447 meV per atom. As for the crystal system: tetragonal.

abc: 4.414 4.414 6.465
angles: 70.04 70.04 90.00
Atoms (fractional coordinates):
Nb (0.750, 0.250, 0.500)
Nb (0.250, 0.750, 0.500)
W (0.385, 0.385, 0.230)
W (0.615, 0.615, 0.770)
La (0.000, 0.000, 0.000)

---

no.,electronic total energy (eV/atom)
1,-8.262
2,-9.700
3,-9.139
4,-9.747